<P>
This record from Alexandria describes KSb2HI at its PBEsol-relaxed geometry. The functional is SCAN.

Summary:
As for the density of states at the Fermi level: 2.44 states/eV per cell. As for the space group: No. 123.

Structure (POSCAR):
```
KSb2HI
1.0
4.4818 0.0000 0.0000
0.0000 4.4818 0.0000
0.0000 0.0000 6.9297
K Sb H I
1 2 1 1
Direct
0.0000 0.0000 0.0000
0.0000 0.5000 0.5000
0.5000 0.0000 0.5000
0.5000 0.5000 0.5000
0.5000 0.5000 0.0000
```

***

<Q>
This record from Alexandria describes KSb2HI at its PBEsol-relaxed geometry. The functional is SCAN.

Summary:
As for the space group: No. 123.

Structure (POSCAR):
```
KSb2HI
1.0
7.4901 0.0000 0.0000
0.0000 7.4901 0.0000
0.0000 0.0000 6.3935
K Sb H I
1 2 1 1
Direct
0.0000 0.0000 0.0000
0.0000 0.5000 0.0000
0.5000 0.0000 0.0000
0.5000 0.5000 0.5000
0.0000 0.0000 0.5000
```

***

Q: What are the energies relative to the best structure? A: <P> 0.000; <Q> 1.116, in eV/atom.

***

<P>
This record from Alexandria describes Li2HIO at its PBEsol-relaxed geometry. The functional is SCAN.

Summary:
As for the density of states at the Fermi level: 0.00 states/eV per cell. As for the space group: No. 62.

Structure (POSCAR):
```
Li2HIO
1.0
10.3590 0.0000 0.0000
0.0000 5.5467 0.0000
0.0000 0.0000 6.4597
Li H I O
8 4 4 4
Direct
0.1085 0.0005 0.0658
0.1085 0.4995 0.0658
0.3915 0.5005 0.5658
0.3915 0.9995 0.5658
0.6085 0.0005 0.4342
0.6085 0.4995 0.4342
0.8915 0.5005 0.9342
0.8915 0.9995 0.9342
0.0539 0.7500 0.7735
0.4461 0.2500 0.2735
0.5539 0.7500 0.7265
0.9461 0.2500 0.2265
0.1745 0.7500 0.4276
0.3255 0.2500 0.9276
0.6745 0.7500 0.0724
0.8255 0.2500 0.5724
0.0202 0.7500 0.9162
0.4798 0.2500 0.4162
0.5202 0.7500 0.5838
0.9798 0.2500 0.0838
```

***

<Q>
This record from Alexandria describes Li2HIO at its PBEsol-relaxed geometry. The functional is SCAN.

Summary:
As for the space group: No. 123.

Structure (POSCAR):
```
Li2HIO
1.0
5.2121 0.0000 0.0000
0.0000 5.2121 0.0000
0.0000 0.0000 4.0604
Li H I O
2 1 1 1
Direct
0.0000 0.5000 0.0000
0.5000 0.0000 0.0000
0.0000 0.0000 0.5000
0.5000 0.5000 0.0000
0.5000 0.5000 0.5000
```

***

Q: What are the energies relative to the best structure? A: <P> 0.000; <Q> 1.507, in eV/atom.

***

<P>
This record from Alexandria describes Nb6HI11 at its PBEsol-relaxed geometry. The functional is SCAN.

Summary:
As for the space group: No. 33.

Structure (POSCAR):
```
Nb6HI11
1.0
13.3341 0.0000 0.0000
0.0000 15.5192 0.0000
0.0000 0.0000 11.3129
Nb H I
24 4 44
Direct
0.1224 0.0493 0.1664
0.1317 0.4422 0.5109
0.1589 0.5573 0.7158
0.1717 0.9511 0.9542
0.2234 0.6111 0.5000
0.2239 0.9001 0.2019
0.2761 0.4001 0.7019
0.2766 0.1111 0.0000
0.3283 0.4511 0.4542
0.3411 0.0573 0.2158
0.3683 0.9422 0.0109
0.3776 0.5493 0.6664
0.6224 0.4507 0.1664
0.6317 0.0578 0.5109
0.6589 0.9427 0.7158
0.6717 0.5489 0.9542
0.7234 0.8889 0.5000
0.7239 0.5999 0.2019
0.7761 0.0999 0.7019
0.7766 0.3889 0.0000
0.8283 0.0489 0.4542
0.8411 0.4427 0.2158
0.8683 0.5578 0.0109
0.8776 0.9507 0.6664
0.2492 0.5012 0.5930
0.2508 0.0012 0.0930
0.7492 0.9988 0.5930
0.7508 0.4988 0.0930
0.0123 0.5921 0.5429
0.0227 0.8917 0.1133
0.0282 0.6458 0.8859
0.0654 0.3892 0.7394
0.0656 0.8836 0.7523
0.0685 0.1126 0.9376
0.1787 0.7716 0.3801
0.1866 0.5170 0.2907
0.2015 0.0164 0.3959
0.2200 0.2097 0.1996
0.2425 0.2857 0.5108
0.2575 0.7857 0.0108
0.2800 0.7097 0.6996
0.2985 0.5164 0.8959
0.3134 0.0170 0.7907
0.3213 0.2716 0.8801
0.4315 0.6126 0.4376
0.4344 0.3836 0.2523
0.4346 0.8892 0.2394
0.4718 0.1458 0.3859
0.4773 0.3917 0.6133
0.4877 0.0921 0.0429
0.5123 0.9079 0.5429
0.5227 0.6083 0.1133
0.5282 0.8542 0.8859
0.5654 0.1108 0.7394
0.5656 0.6164 0.7523
0.5685 0.3874 0.9376
0.6787 0.7284 0.3801
0.6866 0.9830 0.2907
0.7015 0.4836 0.3959
0.7200 0.2903 0.1996
0.7425 0.2143 0.5108
0.7575 0.7143 0.0108
0.7800 0.7903 0.6996
0.7985 0.9836 0.8959
0.8134 0.4830 0.7907
0.8213 0.2284 0.8801
0.9315 0.8874 0.4376
0.9344 0.1164 0.2523
0.9346 0.6108 0.2394
0.9718 0.3542 0.3859
0.9773 0.1083 0.6133
0.9877 0.4079 0.0429
```

***

<Q>
This record from Alexandria describes Nb6HI11 at its PBEsol-relaxed geometry. The functional is SCAN.

Summary:
As for the density of states at the Fermi level: 2.13 states/eV per cell. As for the space group: No. 56.

Structure (POSCAR):
```
Nb6HI11
1.0
11.2940 0.0000 0.0000
0.0000 15.5187 0.0000
0.0000 0.0000 13.4690
Nb H I
24 4 44
Direct
0.0705 0.0508 0.1256
0.0705 0.4492 0.6256
0.1016 0.6048 0.5255
0.1016 0.8952 0.0255
0.1355 0.0499 0.9171
0.1355 0.4501 0.4171
0.3645 0.0499 0.4171
0.3645 0.4501 0.9171
0.3984 0.6048 0.0255
0.3984 0.8952 0.5255
0.4295 0.0508 0.6256
0.4295 0.4492 0.1256
0.5705 0.5508 0.8744
0.5705 0.9492 0.3744
0.6016 0.1048 0.4745
0.6016 0.3952 0.9745
0.6355 0.5499 0.0829
0.6355 0.9501 0.5829
0.8645 0.5499 0.5829
0.8645 0.9501 0.0829
0.8984 0.1048 0.9745
0.8984 0.3952 0.4745
0.9295 0.5508 0.3744
0.9295 0.9492 0.8744
0.0000 0.0000 0.0000
0.0000 0.5000 0.5000
0.5000 0.0000 0.5000
0.5000 0.5000 0.0000
0.0264 0.6074 0.7285
0.0264 0.8926 0.2285
0.0967 0.2107 0.0209
0.0967 0.2893 0.5209
0.1579 0.6133 0.3197
0.1579 0.8867 0.8197
0.1689 0.1250 0.3046
0.1689 0.3750 0.8046
0.1975 0.0026 0.5643
0.1975 0.4974 0.0643
0.2500 0.7500 0.0773
0.2500 0.7500 0.5773
0.3025 0.0026 0.0643
0.3025 0.4974 0.5643
0.3311 0.1250 0.8046
0.3311 0.3750 0.3046
0.3421 0.6133 0.8197
0.3421 0.8867 0.3197
0.4033 0.2107 0.5209
0.4033 0.2893 0.0209
0.4736 0.6074 0.2285
0.4736 0.8926 0.7285
0.5264 0.1074 0.2715
0.5264 0.3926 0.7715
0.5967 0.7107 0.9791
0.5967 0.7893 0.4791
0.6579 0.1133 0.6803
0.6579 0.3867 0.1803
0.6689 0.6250 0.6954
0.6689 0.8750 0.1954
0.6975 0.5026 0.4357
0.6975 0.9974 0.9357
0.7500 0.2500 0.4227
0.7500 0.2500 0.9227
0.8025 0.5026 0.9357
0.8025 0.9974 0.4357
0.8311 0.6250 0.1954
0.8311 0.8750 0.6954
0.8421 0.1133 0.1803
0.8421 0.3867 0.6803
0.9033 0.7107 0.4791
0.9033 0.7893 0.9791
0.9736 0.1074 0.7715
0.9736 0.3926 0.2715
```

***

Q: What are the energies relative to the best structure? A: <P> 0.017; <Q> 0.000, in eV/atom.

***

<P>
This record from Alexandria describes TeHPtI2 at its PBEsol-relaxed geometry. The functional is SCAN.

Summary:
As for the density of states at the Fermi level: 2.86 states/eV per cell. As for the space group: No. 123.

Structure (POSCAR):
```
TeHPtI2
1.0
6.0310 0.0000 0.0000
0.0000 6.0310 0.0000
0.0000 0.0000 4.8770
Te H Pt I
1 1 1 2
Direct
0.0000 0.0000 0.0000
0.5000 0.5000 0.5000
0.0000 0.0000 0.5000
0.0000 0.5000 0.0000
0.5000 0.0000 0.0000
```

***

<Q>
This record from Alexandria describes TeHPtI2 at its PBEsol-relaxed geometry. The functional is SCAN.

Summary:
As for the density of states at the Fermi level: 2.65 states/eV per cell. As for the space group: No. 123.

Structure (POSCAR):
```
TeHPtI2
1.0
5.5770 0.0000 0.0000
0.0000 5.5770 0.0000
0.0000 0.0000 5.0724
Te H Pt I
1 1 1 2
Direct
0.0000 0.0000 0.0000
0.5000 0.5000 0.0000
0.0000 0.0000 0.5000
0.0000 0.5000 0.5000
0.5000 0.0000 0.5000
```

***

Q: What are the energies relative to the best structure? A: <P> 0.193; <Q> 0.000, in eV/atom.